Record 1
LaBeCu2 (GGA-PBE, relaxed); ΔE_f = -0.074 eV per atom; total energy = -4.29 eV/atom; polymorph energy (0 for the lowest one) = 0.0389 eV/atom; theoretical density = 6.33 g/cm³; total moment = 0.0 Bohr magnetons per cell
1.0
4.0298 -0.0050 0.0478
2.0087 3.4935 0.0478
1.9936 1.1517 5.1528
Be Cu La
1 2 1
Direct
0.3112 0.3112 0.0688
0.9865 0.9865 0.0403
0.6985 0.6985 0.9050
0.5037 0.5037 0.4859

Record 2
LaBe2Cu (GGA-PBE, relaxed); ΔE_f = 0.302 eV per atom; total energy = -3.82 eV/atom; polymorph energy (0 for the lowest one) = 0.3671 eV/atom; theoretical density = 5.53 g/cm³; total moment = 0.0 Bohr magnetons per cell
1.0
2.6520 -3.6702 0.3403
-0.9852 -3.2405 3.0245
-1.5202 -4.0386 -1.4135
Be Cu La
2 1 1
Direct
0.2500 0.2500 0.2500
0.7500 0.7500 0.7500
0.0000 0.0000 0.0000
0.5000 0.5000 0.5000

Record 3
LaBeCu2 (GGA-PBE, relaxed); ΔE_f = 0.075 eV per atom; total energy = -4.14 eV/atom; polymorph energy (0 for the lowest one) = 0.1883 eV/atom; theoretical density = 6.45 g/cm³; total moment = 0.0 Bohr magnetons per cell
1.0
3.8880 0.0000 0.0000
0.0000 3.2219 0.1157
0.0000 1.3943 5.6986
Be Cu La
1 2 1
Direct
0.5000 0.8924 0.8382
0.0000 0.8088 0.0101
0.5000 0.2529 0.1210
0.0000 0.5457 0.5307

Record 4
LaBeCu2 (GGA-PBE, relaxed); ΔE_f = -0.113 eV per atom; total energy = -4.32 eV/atom; polymorph energy (0 for the lowest one) = 0.0000 eV/atom; theoretical density = 6.34 g/cm³; total moment = 0.0 Bohr magnetons per cell
1.0
-0.3003 3.5183 -2.0450
-3.6138 1.2017 -1.4653
-2.2223 3.9584 3.1162
Be Cu La
1 2 1
Direct
0.2500 0.2500 0.2500
0.9449 0.9449 0.1648
0.5551 0.5551 0.3352
0.7500 0.7500 0.7500

Record 5
LaBeCu3 (GGA-PBE, relaxed); ΔE_f = 1.618 eV per atom; total energy = -2.57 eV/atom; polymorph energy (0 for the lowest one) = 1.6489 eV/atom; theoretical density = 3.93 g/cm³; total moment = 0.0 Bohr magnetons per cell
1.0
5.2318 0.0000 0.0000
0.0000 5.2318 0.0000
0.0000 0.0000 5.2318
Be Cu La
1 3 1
Direct
0.5000 0.5000 0.5000
0.0000 0.5000 0.0000
0.0000 0.0000 0.5000
0.5000 0.0000 0.0000
0.0000 0.0000 0.0000

Record 6
LaBeCu3 (GGA-PBE, relaxed); ΔE_f = -0.031 eV per atom; total energy = -4.22 eV/atom; polymorph energy (0 for the lowest one) = 0.0000 eV/atom; theoretical density = 6.87 g/cm³; total moment = 0.0 Bohr magnetons per cell
1.0
-4.0211 3.2398 -0.2357
-2.5692 -3.4954 -4.2142
-1.1388 -0.9870 5.8569
La Be Cu
2 2 6
Direct
0.7499 0.6667 0.3336
0.2501 0.3333 0.6664
0.0000 0.0000 0.0000
0.5000 0.0000 0.0000
0.7501 0.6304 0.8155
0.2499 0.8154 0.6305
0.2499 0.3696 0.1845
0.7501 0.1846 0.3695
0.2499 0.8151 0.1846
0.7501 0.1849 0.8154

Record 7
LaMgBeCu (GGA-PBE, relaxed); ΔE_f = 0.023 eV per atom; total energy = -3.56 eV/atom; theoretical density = 4.92 g/cm³; total moment = 0.0 Bohr magnetons per cell
1.0
4.8284 0.0000 0.0000
2.4142 4.1816 0.0000
2.4142 1.3939 3.9424
Be Mg Cu La
1 1 1 1
Direct
0.7500 0.7500 0.7500
0.0000 0.0000 0.0000
0.2500 0.2500 0.2500
0.5000 0.5000 0.5000

Record 8
La2MnBeCu (GGA-PBE, relaxed); ΔE_f = 0.285 eV per atom; total energy = -5.08 eV/atom; theoretical density = 5.98 g/cm³; total moment = 0.0 Bohr magnetons per cell
1.0
-1.4110 -3.7901 3.1607
2.7479 1.4332 2.9453
-3.6704 3.0034 1.9630
Be Mn Cu La
1 1 1 2
Direct
0.0000 0.5000 0.0000
0.0000 0.0000 0.0000
0.5000 0.5000 0.5000
0.0000 0.0000 0.5000
0.5000 0.0000 0.0000

Record 9
LaMnBe2Cu (GGA-PBE, relaxed); ΔE_f = 0.982 eV per atom; total energy = -4.15 eV/atom; theoretical density = 5.03 g/cm³; total moment = 0.0 Bohr magnetons per cell
1.0
4.1586 0.0000 0.0000
0.0000 5.2625 0.0000
0.0000 0.0000 4.1586
Be Mn Cu La
2 1 1 1
Direct
0.0000 0.0000 0.5000
0.5000 0.0000 0.0000
0.5000 0.5000 0.5000
0.0000 0.0000 0.0000
0.0000 0.5000 0.0000

Record 10
LaBeNb2Cu (GGA-PBE, relaxed); ΔE_f = 0.477 eV per atom; total energy = -6.10 eV/atom; theoretical density = 7.20 g/cm³; total moment = 0.0 Bohr magnetons per cell
1.0
4.6960 0.0000 0.0000
0.0000 4.1557 0.0000
0.0000 0.0000 4.6960
Be Nb Cu La
1 2 1 1
Direct
0.0000 0.0000 0.0000
0.0000 0.0000 0.5000
0.5000 0.0000 0.0000
0.0000 0.5000 0.0000
0.5000 0.5000 0.5000

Record 11
LaBeCuNi6 (GGA-PBE, relaxed); ΔE_f = -0.084 eV per atom; total energy = -5.35 eV/atom; theoretical density = 7.58 g/cm³; total moment = 0.0 Bohr magnetons per cell
1.0
7.5429 0.0000 0.0000
0.0000 4.9042 0.0000
-3.7714 -2.4521 6.6745
La Be Cu Ni
2 2 2 12
Direct
0.7561 0.5061 0.5123
0.2439 0.4939 0.4877
0.5000 0.5000 0.0000
0.5000 0.0000 0.0000
0.5000 0.0000 0.5000
0.0000 0.0000 0.5000
0.6340 0.8840 0.2681
0.0010 0.2510 0.0019
0.8503 0.0885 0.1791
0.3288 0.5906 0.1791
0.3288 0.0885 0.1791
0.8503 0.5906 0.1791
0.3660 0.1160 0.7319
0.9990 0.7490 0.9981
0.1497 0.9115 0.8209
0.6712 0.4094 0.8209
0.6712 0.9115 0.8209
0.1497 0.4094 0.8209

Record 12
La2Be3CuNi12 (GGA-PBE, relaxed); ΔE_f = 0.230 eV per atom; total energy = -5.02 eV/atom; theoretical density = 6.86 g/cm³; total moment = 0.0 Bohr magnetons per cell
1.0
-3.6575 -0.3159 -5.9130
-0.1107 -6.1870 -3.1858
-6.0161 -3.4846 0.3227
La Be Cu Ni
2 3 1 12
Direct
0.6121 0.6121 0.6121
0.3879 0.3879 0.3879
0.5000 0.0000 0.0000
0.0000 0.5000 0.0000
0.0000 0.0000 0.5000
0.0000 0.0000 0.0000
0.3467 0.3467 0.9066
0.8702 0.8702 0.3844
0.3844 0.8702 0.8702
0.9066 0.3467 0.3467
0.8702 0.3844 0.8702
0.3467 0.9066 0.3467
0.6533 0.6533 0.0934
0.1298 0.1298 0.6156
0.6156 0.1298 0.1298
0.0934 0.6533 0.6533
0.1298 0.6156 0.1298
0.6533 0.0934 0.6533

Record 13
La2BeCu12Ni3 (GGA-PBE, relaxed); ΔE_f = 0.226 eV per atom; total energy = -4.22 eV/atom; theoretical density = 7.28 g/cm³; total moment = 0.0 Bohr magnetons per cell
1.0
-2.8209 -4.0257 -7.8342
2.8388 -5.9834 -6.4559
-2.0223 -8.3156 -3.5072
La Be Cu Ni
2 1 12 3
Direct
0.6530 0.6530 0.6530
0.3470 0.3470 0.3470
0.0000 0.0000 0.0000
0.4170 0.4170 0.8105
0.9367 0.9367 0.3390
0.3390 0.9367 0.9367
0.8105 0.4170 0.4170
0.9367 0.3390 0.9367
0.4170 0.8105 0.4170
0.5830 0.5830 0.1895
0.0633 0.0633 0.6610
0.6610 0.0633 0.0633
0.1895 0.5830 0.5830
0.0633 0.6610 0.0633
0.5830 0.1895 0.5830
0.5000 0.0000 0.0000
0.0000 0.5000 0.0000
0.0000 0.0000 0.5000

Record 14
La2BeCuPd6 (GGA-PBE, relaxed); ΔE_f = -0.605 eV per atom; total energy = -5.49 eV/atom; theoretical density = 8.61 g/cm³; total moment = 0.0 Bohr magnetons per cell
1.0
-2.2365 2.3595 -5.2718
-4.9877 2.4426 3.9325
-1.8747 6.3578 1.4457
La Be Cu Pd
2 1 1 6
Direct
0.7354 0.2690 0.5304
0.2646 0.7310 0.4696
0.5000 0.5000 0.0000
0.0000 0.0000 0.0000
0.2794 0.2552 0.4772
0.8763 0.7484 0.8683
0.2794 0.7545 0.9776
0.7206 0.2455 0.0224
0.1237 0.2516 0.1317
0.7206 0.7448 0.5228

Record 15
La2Be3Cu12Pd (GGA-PBE, relaxed); ΔE_f = 0.296 eV per atom; total energy = -3.89 eV/atom; theoretical density = 6.47 g/cm³; total moment = 0.0 Bohr magnetons per cell
1.0
7.4978 -0.0034 -0.0024
3.6999 6.5213 -0.0024
3.6999 2.1536 6.1555
La Be Cu Pd
2 3 12 1
Direct
0.6080 0.6080 0.6080
0.3920 0.3920 0.3920
0.5000 0.0000 0.0000
0.0000 0.5000 0.0000
0.0000 0.0000 0.5000
0.3350 0.3350 0.8979
0.8780 0.8780 0.3978
0.3978 0.8780 0.8780
0.8979 0.3350 0.3350
0.8780 0.3978 0.8780
0.3350 0.8979 0.3350
0.6650 0.6650 0.1021
0.1220 0.1220 0.6022
0.6022 0.1220 0.1220
0.1021 0.6650 0.6650
0.1220 0.6022 0.1220
0.6650 0.1021 0.6650
0.0000 0.0000 0.0000

Record 16
LaBe2CuPd5 (GGA-PBE, relaxed); ΔE_f = -0.443 eV per atom; total energy = -5.16 eV/atom; theoretical density = 8.92 g/cm³; total moment = 0.0 Bohr magnetons per cell
1.0
4.4337 0.0000 0.0000
0.0000 4.4337 0.0000
0.0000 0.0000 7.1265
La Be Cu Pd
1 2 1 5
Direct
0.0000 0.0000 0.5000
0.5000 0.5000 0.1605
0.5000 0.5000 0.8395
0.0000 0.0000 0.0000
0.0000 0.5000 0.2070
0.5000 0.0000 0.2070
0.0000 0.5000 0.7930
0.5000 0.0000 0.7930
0.5000 0.5000 0.5000

Record 17
La2Be3Cu12Pt (GGA-PBE, relaxed); ΔE_f = 0.280 eV per atom; total energy = -3.95 eV/atom; theoretical density = 6.94 g/cm³; total moment = 0.0 Bohr magnetons per cell
1.0
7.5133 0.0053 0.0038
3.7151 6.5305 0.0038
3.7151 2.1625 6.1621
La Be Cu Pt
2 3 12 1
Direct
0.6087 0.6087 0.6087
0.3913 0.3913 0.3913
0.5000 0.0000 0.0000
0.0000 0.5000 0.0000
0.0000 0.0000 0.5000
0.3359 0.3359 0.8967
0.8797 0.8797 0.3964
0.3964 0.8797 0.8797
0.8967 0.3359 0.3359
0.8797 0.3964 0.8797
0.3359 0.8967 0.3359
0.6641 0.6641 0.1033
0.1203 0.1203 0.6036
0.6036 0.1203 0.1203
0.1033 0.6641 0.6641
0.1203 0.6036 0.1203
0.6641 0.1033 0.6641
0.0000 0.0000 0.0000

Record 18
La2Be3CuPt12 (GGA-PBE, relaxed); ΔE_f = -0.411 eV per atom; total energy = -5.83 eV/atom; theoretical density = 13.55 g/cm³; total moment = 0.0 Bohr magnetons per cell
1.0
-6.9431 2.5104 1.7572
-3.6165 -3.6270 5.6002
-0.7108 3.7294 6.5714
La Be Cu Pt
2 3 1 12
Direct
0.6143 0.6143 0.6143
0.3857 0.3857 0.3857
0.5000 0.0000 0.0000
0.0000 0.5000 0.0000
0.0000 0.0000 0.5000
0.0000 0.0000 0.0000
0.3522 0.3522 0.8976
0.8737 0.8737 0.3803
0.3803 0.8737 0.8737
0.8976 0.3522 0.3522
0.8737 0.3803 0.8737
0.3522 0.8976 0.3522
0.6478 0.6478 0.1024
0.1263 0.1263 0.6197
0.6197 0.1263 0.1263
0.1024 0.6478 0.6478
0.1263 0.6197 0.1263
0.6478 0.1024 0.6478

Record 19
LaBeCuPt2 (GGA-PBE, relaxed); ΔE_f = -0.594 eV per atom; total energy = -5.56 eV/atom; theoretical density = 11.35 g/cm³; total moment = 0.0 Bohr magnetons per cell
1.0
-1.3915 -1.9387 -3.8496
4.2925 -0.9899 -1.0530
-0.3700 -3.7622 2.0284
Be Cu Pt La
1 1 2 1
Direct
0.0000 0.0000 0.0000
0.0000 0.0000 0.5000
0.0000 0.5000 0.0000
0.5000 0.0000 0.0000
0.5000 0.5000 0.5000

Record 20
LaBeCu2Pt (GGA-PBE, relaxed); ΔE_f = -0.320 eV per atom; total energy = -4.90 eV/atom; theoretical density = 9.07 g/cm³; total moment = 0.0 Bohr magnetons per cell
1.0
-2.7547 1.2342 3.1335
3.0845 -0.7006 2.9875
1.4133 4.2992 -0.4509
Be Cu Pt La
1 2 1 1
Direct
0.0000 0.0000 0.0000
0.0000 0.5000 0.0000
0.5000 0.0000 0.0000
0.0000 0.0000 0.5000
0.5000 0.5000 0.5000

Record 21
LaBeCuRh2 (GGA-PBE, relaxed); ΔE_f = -0.469 eV per atom; total energy = -5.96 eV/atom; theoretical density = 8.53 g/cm³; total moment = 0.0 Bohr magnetons per cell
1.0
4.3918 0.0000 0.0000
0.0000 4.3918 0.0000
0.0000 0.0000 4.2106
Be Rh Cu La
1 2 1 1
Direct
0.0000 0.0000 0.0000
0.0000 0.5000 0.0000
0.5000 0.0000 0.0000
0.0000 0.0000 0.5000
0.5000 0.5000 0.5000

Record 22
LaBeCuSi2 (GGA-PBE, relaxed); total energy = -5.21 eV/atom; theoretical density = 5.35 g/cm³; total moment = 0.0 Bohr magnetons per cell
1.0
4.1152 0.0000 0.0000
0.0000 4.1152 0.0000
-2.0576 -2.0576 4.9035
La Be Cu Si
1 1 1 2
Direct
0.0000 0.0000 0.0000
0.2500 0.7500 0.5000
0.7500 0.2500 0.5000
0.6243 0.6243 0.2486
0.3757 0.3757 0.7514

Record 23
La2Be3Cu12Si (GGA-PBE, relaxed); total energy = -3.95 eV/atom; theoretical density = 5.92 g/cm³; total moment = 0.0 Bohr magnetons per cell
1.0
7.4052 -0.1724 -0.1223
3.5072 6.5243 -0.1223
3.5072 2.0415 6.1979
La Be Cu Si
2 3 12 1
Direct
0.6108 0.6108 0.6108
0.3892 0.3892 0.3892
0.5000 0.0000 0.0000
0.0000 0.5000 0.0000
0.0000 0.0000 0.5000
0.3323 0.3323 0.9883
0.8886 0.8886 0.3561
0.3561 0.8886 0.8886
0.9883 0.3323 0.3323
0.8886 0.3561 0.8886
0.3323 0.9883 0.3323
0.6677 0.6677 0.0117
0.1114 0.1114 0.6439
0.6439 0.1114 0.1114
0.0117 0.6677 0.6677
0.1114 0.6439 0.1114
0.6677 0.0117 0.6677
0.0000 0.0000 0.0000